[1]
Tb2BePt | PBE-GGA | optimized geometry

Lattice parameters (Å, degrees): 3.5122 3.5122 6.7882 90.00 90.00 90.00
Positions (direct):
Tb 0.0000 0.0000 0.2472
Tb 0.0000 0.0000 0.7528
Be 0.5000 0.5000 0.0000
Pt 0.5000 0.5000 0.5000

## Properties
For the calculated formation energy, the calculation gives -0.562 eV/atom. The symmetry is P4/mmm (123). The calculation puts the total magnetization at 0.00 μB per formula unit. For the relative energy among the computed polymorphs, the calculation gives 0.0 kJ/mol of atoms. The value obtained for the volume is 20.934 Å³ per atom. The calculation puts the density of states at the Fermi level at 0.511 states/eV per atom.

[2]
Tb2BePt5 | PBE-GGA | optimized geometry

Lattice parameters (Å, degrees): 5.9069 5.9069 5.9069 120.15 120.15 89.75
Positions (direct):
Tb 0.0000 0.5000 0.5000
Tb 0.5000 0.0000 0.5000
Be 0.2093 0.2093 0.0000
Pt 0.5009 0.5009 0.0000
Pt 0.5141 0.5141 0.5249
Pt 0.5141 0.9893 0.0000
Pt 0.9893 0.5141 0.0000
Pt 0.9893 0.9893 0.4751

## Properties
For the calculated formation energy, the calculation gives -1.027 eV/atom. The symmetry is I4mm (107). The calculation puts the total magnetization at 0.00 μB per formula unit. The value obtained for the volume is 18.177 Å³ per atom. The calculation puts the density of states at the Fermi level at 0.285 states/eV per atom.

[3]
TbBe3Pt3 | PBE-GGA | optimized geometry

Lattice parameters (Å, degrees): 6.1561 6.1561 6.1561 90.00 90.00 90.00
Positions (direct):
Tb 0.0000 0.0000 0.0000
Tb 0.5000 0.5000 0.5000
Be 0.0000 0.2500 0.5000
Be 0.0000 0.7500 0.5000
Be 0.2500 0.5000 0.0000
Be 0.5000 0.0000 0.2500
Be 0.5000 0.0000 0.7500
Be 0.7500 0.5000 0.0000
Pt 0.0000 0.5000 0.2500
Pt 0.0000 0.5000 0.7500
Pt 0.2500 0.0000 0.5000
Pt 0.5000 0.2500 0.0000
Pt 0.5000 0.7500 0.0000
Pt 0.7500 0.0000 0.5000

## Properties
For the calculated formation energy, the calculation gives -0.508 eV/atom. The symmetry is Pm-3n (223). The calculation puts the total magnetization at 0.00 μB per formula unit. The value obtained for the volume is 16.664 Å³ per atom. The calculation puts the density of states at the Fermi level at 0.330 states/eV per atom.

[4]
TbBe4Pt12 | PBE-GGA | optimized geometry

Lattice parameters (Å, degrees): 6.9837 6.9837 6.9837 109.47 109.47 109.47
Positions (direct):
Tb 0.0000 0.0000 0.0000
Be 0.0000 0.0000 0.5000
Be 0.0000 0.5000 0.0000
Be 0.5000 0.0000 0.0000
Be 0.5000 0.5000 0.5000
Pt 0.1626 0.3296 0.8330
Pt 0.1670 0.4966 0.3296
Pt 0.1670 0.8374 0.6704
Pt 0.3296 0.1670 0.4966
Pt 0.3296 0.8330 0.1626
Pt 0.4966 0.3296 0.1670
Pt 0.5034 0.6704 0.8330
Pt 0.6704 0.1670 0.8374
Pt 0.6704 0.8330 0.5034
Pt 0.8330 0.1626 0.3296
Pt 0.8330 0.5034 0.6704
Pt 0.8374 0.6704 0.1670

## Properties
For the calculated formation energy, the calculation gives -0.293 eV/atom. The symmetry is Im-3 (204). The calculation puts the total magnetization at 0.00 μB per formula unit. The value obtained for the volume is 15.424 Å³ per atom. The calculation puts the density of states at the Fermi level at 0.802 states/eV per atom.

[5]
TbBePt4 | PBE-GGA | optimized geometry

Lattice parameters (Å, degrees): 7.8913 7.8913 6.4370 90.00 90.00 151.21
Positions (direct):
Tb 0.1090 0.8910 0.7500
Tb 0.8910 0.1090 0.2500
Be 0.2289 0.7711 0.2500
Be 0.7711 0.2289 0.7500
Pt 0.0821 0.9179 0.2500
Pt 0.3138 0.6862 0.5411
Pt 0.3138 0.6862 0.9589
Pt 0.5000 0.5000 0.0000
Pt 0.5000 0.5000 0.5000
Pt 0.6862 0.3138 0.0411
Pt 0.6862 0.3138 0.4589
Pt 0.9179 0.0821 0.7500

## Properties
For the calculated formation energy, the calculation gives -0.914 eV/atom. The symmetry is Cmcm (63). The calculation puts the total magnetization at 0.00 μB per formula unit. The value obtained for the volume is 16.090 Å³ per atom. The calculation puts the density of states at the Fermi level at 0.313 states/eV per atom.

[6]
TbBe2Pt6 | PBE-GGA | optimized geometry

Lattice parameters (Å, degrees): 7.6624 7.6624 7.6624 60.00 60.00 60.00
Positions (direct):
Tb 0.1250 0.1250 0.1250
Tb 0.8750 0.8750 0.8750
Be 0.0000 0.5000 0.5000
Be 0.5000 0.0000 0.5000
Be 0.5000 0.5000 0.0000
Be 0.5000 0.5000 0.5000
Pt 0.1358 0.1358 0.6142
Pt 0.1358 0.6142 0.1358
Pt 0.1358 0.6142 0.6142
Pt 0.3858 0.3858 0.8642
Pt 0.3858 0.8642 0.3858
Pt 0.3858 0.8642 0.8642
Pt 0.6142 0.1358 0.1358
Pt 0.6142 0.1358 0.6142
Pt 0.6142 0.6142 0.1358
Pt 0.8642 0.3858 0.3858
Pt 0.8642 0.3858 0.8642
Pt 0.8642 0.8642 0.3858

## Properties
For the calculated formation energy, the calculation gives -0.476 eV/atom. The symmetry is Fd-3m (227). The calculation puts the total magnetization at 0.00 μB per formula unit. The value obtained for the volume is 17.673 Å³ per atom. The calculation puts the density of states at the Fermi level at 0.420 states/eV per atom.

[7]
Tb2Be4Pt5 | PBE-GGA | optimized geometry

Lattice parameters (Å, degrees): 8.2446 7.3402 5.4073 79.00 60.92 40.08
Positions (direct):
Tb 0.1308 0.1308 0.8692
Tb 0.8692 0.8692 0.1308
Be 0.2099 0.5321 0.4679
Be 0.4679 0.7901 0.2099
Be 0.5321 0.2099 0.7901
Be 0.7901 0.4679 0.5321
Pt 0.0000 0.0000 0.5000
Pt 0.2500 0.2500 0.2500
Pt 0.5000 0.5000 0.0000
Pt 0.5000 0.5000 0.5000
Pt 0.7500 0.7500 0.7500

## Properties
For the calculated formation energy, the calculation gives -0.914 eV/atom. The symmetry is Fmmm (69). The calculation puts the total magnetization at 0.00 μB per formula unit. The value obtained for the volume is 15.848 Å³ per atom. The calculation puts the density of states at the Fermi level at 0.305 states/eV per atom.

[8]
TbBePt6 | PBE-GGA | optimized geometry

Lattice parameters (Å, degrees): 3.9021 3.9021 9.0860 90.00 90.00 90.00
Positions (direct):
Tb 0.0000 0.0000 0.0000
Be 0.0000 0.0000 0.5000
Pt 0.0000 0.5000 0.3495
Pt 0.0000 0.5000 0.6505
Pt 0.5000 0.0000 0.3495
Pt 0.5000 0.0000 0.6505
Pt 0.5000 0.5000 0.1401
Pt 0.5000 0.5000 0.8599

## Properties
For the calculated formation energy, the calculation gives -0.539 eV/atom. The symmetry is P4/mmm (123). The calculation puts the total magnetization at 0.00 μB per formula unit. For the relative energy among the computed polymorphs, the calculation gives 8.4 kJ/mol of atoms. The value obtained for the volume is 17.293 Å³ per atom. The calculation puts the density of states at the Fermi level at 1.395 states/eV per atom.

Question: Which of these has the highest calculated formation energy?
Answer: TbBe4Pt12

Question: The lowest calculated formation energy belongs to which entry?
Answer: Tb2BePt5